[1]
A plane-wave DFT calculation with PBE-GGA was carried out for a geometry-optimized Tm3Zn4Au4 structure.

ΔE to the lowest computed polymorph in meV per atom: 4.8
Energy in hartree per atom: -0.127
ΔH_f (0 K) in eV per atom: -0.595
V in Å³/atom: 20.0

a = 4.108 Å, b = 7.446 Å, c = 14.381 Å
α = 90.00°, β = 90.00°, γ = 90.00°
Space group Immm (No. 71)
Symmetry-distinct sites (fractional):
Tm 0.000 0.000 0.000 [2 per cell]
Tm 0.000 0.500 0.124 [4 per cell]
Zn 0.000 0.303 0.327 [8 per cell]
Au 0.000 0.000 0.220 [4 per cell]
Au 0.000 0.196 0.500 [4 per cell]

=====

[2]
A plane-wave DFT calculation with PBE-GGA was carried out for a geometry-optimized PmYO2 structure.

ΔE to the lowest computed polymorph in meV per atom: 135.9
Energy in hartree per atom: -0.293
V in Å³/atom: 15.4
Formation energy (no corrections) in eV per atom: -2.692

a = 3.4474 Å, b = 3.4474 Å, c = 17.9231 Å
α = 90.00°, β = 90.00°, γ = 120.00°
Space group R3m (No. 160, hexagonal axes)
Symmetry-distinct sites (fractional):
Pm 0.0000 0.0000 0.0000 [3 per cell]
Y 0.0000 0.0000 0.1776 [3 per cell]
O 0.0000 0.0000 0.5778 [3 per cell]
O 0.0000 0.0000 0.7652 [3 per cell]

=====

[3]
A plane-wave DFT calculation with PBE-GGA was carried out for a geometry-optimized NdSmScZn structure.

ΔE to the lowest computed polymorph in meV per atom: 0.0
Energy in hartree per atom: -0.162
ΔH_f (0 K) in eV per atom: -0.142
V in Å³/atom: 26.7

a = 3.529 Å, b = 3.529 Å, c = 8.571 Å
α = 90.00°, β = 90.00°, γ = 90.00°
Space group P4mm (No. 99)
Symmetry-distinct sites (fractional):
Nd 0.000 0.000 0.000 [1 per cell]
Sm 0.500 0.500 0.684 [1 per cell]
Sc 0.500 0.500 0.282 [1 per cell]
Zn 0.000 0.000 0.449 [1 per cell]